Computed, not measured: TiNb2Re4 after structural relaxation at the PBE level of DFT.

Cell: 5.3972 5.3972 5.3972 Å, 108.71 109.85 109.85°
Last column: nearest neighbours and their distance in Å.
Sites, in units of the cell vectors:
1 Nb 0.5000 0.5000 0.0000  8 Re 2.70
2 Re 0.0000 0.5000 0.0000  4 Nb 2.70, 2 Ti 2.70
3 Re 0.0000 0.0000 0.5000  2 Ti 2.70, 4 Nb 2.70
4 Ti 0.0000 0.0000 0.0000  8 Re 2.70
5 Nb 0.5000 0.0000 0.5000  8 Re 2.70
6 Re 0.5000 0.0000 0.0000  4 Nb 2.70, 2 Ti 2.70
7 Re 0.5000 0.5000 0.5000  4 Nb 2.70, 2 Ti 2.70

Computed properties:
Formation enthalpy at 0 K (eV/f.u.): 2.3
Theoretical density (g cm⁻³): 13.427
Space-group type: No. 139



Computed, not measured: HgMo2W after structural relaxation at the PBE level of DFT.

Cell: 3.3507 3.3502 6.1586 Å, 90.00 90.00 90.00°
Last column: nearest neighbours and their distance in Å.
Sites, in units of the cell vectors:
1 W 0.5000 0.5000 0.2500  8 Mo 2.72
2 Hg 0.5000 0.5000 0.7500  8 Mo 2.94, 2 W 3.08
3 Mo 0.0000 0.0000 0.4673  1 Mo 2.68, 4 W 2.72, 4 Hg 2.94
4 Mo 0.0000 0.0000 0.0327  1 Mo 2.68, 4 W 2.72, 4 Hg 2.94

Computed properties:
Formation enthalpy at 0 K (eV/f.u.): 1.6
Theoretical density (g cm⁻³): 13.843
Space-group type: No. 123



Computed, not measured: ThMnCo10 after structural relaxation at the PBE level of DFT.

Cell: 4.0357 4.7417 8.4590 Å, 90.00 90.00 90.00°
Last column: nearest neighbours and their distance in Å.
Sites, in units of the cell vectors:
1 Co 0.0000 0.5000 0.7971  6 Co 2.38-2.65, 1 Mn 2.51
2 Th 0.0000 0.0000 0.0000  18 Co 2.93-3.22
3 Co 0.0000 0.0000 0.6497  7 Co 2.38-2.53
4 Mn 0.0000 0.5000 0.5000  6 Co 2.51-2.69
5 Co 0.5000 0.2554 0.7406  8 Co 2.32-2.48
6 Co 0.5000 0.0000 0.5000  8 Co 2.37-2.38
7 Co 0.0000 0.0000 0.3503  7 Co 2.38-2.53
8 Co 0.5000 0.7446 0.7406  8 Co 2.32-2.48
9 Co 0.5000 0.5000 0.0000  8 Co 2.48-2.65
10 Co 0.5000 0.7446 0.2594  8 Co 2.32-2.48
11 Co 0.5000 0.2554 0.2594  8 Co 2.32-2.48
12 Co 0.0000 0.5000 0.2029  6 Co 2.38-2.65, 1 Mn 2.51

Computed properties:
Formation enthalpy at 0 K (eV/f.u.): 0.6
Theoretical density (g cm⁻³): 8.989
Space-group type: No. 47



Computed, not measured: FeTc2Hg after structural relaxation at the PBE level of DFT.

Cell: 4.9488 4.9488 4.9488 Å, 134.43 134.43 66.42°
Last column: nearest neighbours and their distance in Å.
Sites, in units of the cell vectors:
1 Hg 0.7500 0.2500 0.5000  4 Fe 2.71, 8 Tc 2.82
2 Tc 0.5000 0.5000 0.0000  4 Tc 2.71, 4 Hg 2.82, 4 Fe 2.82
3 Tc 0.0000 0.0000 0.0000  4 Tc 2.71, 4 Fe 2.82, 4 Hg 2.82
4 Fe 0.2500 0.7500 0.5000  4 Hg 2.71, 8 Tc 2.82

Computed properties:
Formation enthalpy at 0 K (eV/f.u.): 2.0
Theoretical density (g cm⁻³): 12.348
Space-group type: No. 139



Computed, not measured: Ce3Ga4Ge4 after structural relaxation at the PBE level of DFT.

Cell: 4.2322 4.1883 14.0999 Å, 81.43 75.41 90.00°
Last column: nearest neighbours and their distance in Å.
Sites, in units of the cell vectors:
1 Ge 0.6372 0.5462 0.9073  2 Ga 2.49-2.50, 1 Ge 2.55
2 Ce 0.2195 0.6432 0.7136  5 Ge 3.13-3.21, 5 Ga 3.13-3.45
3 Ga 0.6856 0.7501 0.4998  1 Ge 2.56, 2 Ga 2.62
4 Ga 0.3144 0.2499 0.5002  1 Ge 2.56, 2 Ga 2.62
5 Ce 0.0000 0.0000 0.0000  2 Ga 3.04, 8 Ge 3.07-3.40
6 Ce 0.7805 0.3569 0.2864  5 Ge 3.13-3.21, 5 Ga 3.13-3.45
7 Ga 0.5738 0.0918 0.8166  3 Ge 2.47-2.50
8 Ge 0.2278 0.8170 0.3663  2 Ga 2.47-2.56
9 Ge 0.7722 0.1830 0.6337  2 Ga 2.47-2.56
10 Ge 0.3628 0.4539 0.0927  2 Ga 2.50, 1 Ge 2.55
11 Ga 0.4264 0.9083 0.1834  3 Ge 2.47-2.50

Computed properties:
Formation enthalpy at 0 K (eV/f.u.): -5.2
Theoretical density (g cm⁻³): 6.877
Space-group type: No. 12



Computed, not measured: Nb5CuRh4 after structural relaxation at the PBE level of DFT.

Cell: 2.8608 2.8608 19.4753 Å, 90.00 90.00 90.00°
Last column: nearest neighbours and their distance in Å.
Sites, in units of the cell vectors:
1 Nb 0.5000 0.5000 0.7007  8 Rh 2.82, 4 Nb 2.86
2 Rh 0.0000 0.0000 0.8015  8 Nb 2.79-2.82, 4 Rh 2.86
3 Cu 0.0000 0.0000 0.0000  8 Nb 2.81, 4 Cu 2.86
4 Rh 0.0000 0.0000 0.1985  8 Nb 2.79-2.82, 4 Rh 2.86
5 Rh 0.0000 0.0000 0.6000  8 Nb 2.81-2.82, 4 Rh 2.86
6 Nb 0.5000 0.5000 0.5000  8 Rh 2.81, 4 Nb 2.86
7 Nb 0.5000 0.5000 0.0998  4 Rh 2.79, 4 Cu 2.81, 4 Nb 2.86
8 Rh 0.0000 0.0000 0.4000  8 Nb 2.81-2.82, 4 Rh 2.86
9 Nb 0.5000 0.5000 0.9002  4 Rh 2.79, 4 Cu 2.81, 4 Nb 2.86
10 Nb 0.5000 0.5000 0.2993  8 Rh 2.82, 4 Nb 2.86

Computed properties:
Formation enthalpy at 0 K (eV/f.u.): -3.0
Theoretical density (g cm⁻³): 9.790
Space-group type: No. 123



Computed, not measured: Sr2LaAgO after structural relaxation at the PBE level of DFT.

Cell: 5.3375 5.3375 4.8516 Å, 90.00 90.00 90.00°
Last column: nearest neighbours and their distance in Å.
Sites, in units of the cell vectors:
1 O 0.0000 0.0000 0.0000  2 La 2.43, 4 Sr 2.67
2 Sr 0.0000 0.5000 0.0000  2 O 2.67
3 La 0.0000 0.0000 0.5000  2 O 2.43
4 Sr 0.5000 0.0000 0.0000  2 O 2.67
5 Ag 0.5000 0.5000 0.5000  8 Sr 3.61, 4 La 3.77

Computed properties:
Theoretical density (g cm⁻³): 5.262
Space-group type: No. 123
ΔE_f (raw) (kJ per mole of atoms): -105.4



Computed, not measured: NiAsSe2Cl after structural relaxation at the PBE level of DFT.

Cell: 4.5982 4.5982 4.9931 Å, 90.00 90.00 90.00°
Last column: nearest neighbours and their distance in Å.
Sites, in units of the cell vectors:
1 Se 0.0000 0.5000 0.0000  2 Ni 2.30
2 Se 0.5000 0.0000 0.0000  2 Ni 2.30
3 As 0.0000 0.0000 0.5000  2 Ni 2.50
4 Cl 0.5000 0.5000 0.5000  4 As 3.25, 8 Se 3.39
5 Ni 0.0000 0.0000 0.0000  4 Se 2.30, 2 As 2.50

Computed properties:
Relative energy among the computed polymorphs (meV per atom): 0
Theoretical density (g cm⁻³): 5.143
Space-group type: No. 123
ΔE_f (raw) (kJ per mole of atoms): 39.4



Computed, not measured: ErTmAg after structural relaxation at the PBE level of DFT.

Cell: 3.5502 3.5502 6.6770 Å, 105.42 105.42 90.00°
Last column: nearest neighbours and their distance in Å.
Sites, in units of the cell vectors:
1 Ag 0.6655 0.6655 0.3311  4 Tm 3.11, 4 Er 3.13
2 Er 0.3166 0.3166 0.6333  4 Ag 3.13
3 Tm 0.0178 0.0178 0.0357  4 Ag 3.11

Computed properties:
Relative energy among the computed polymorphs (meV per atom): 0
Formation enthalpy at 0 K (eV/f.u.): -0.5
Theoretical density (g cm⁻³): 9.456
Space-group type: No. 107



Computed, not measured: Li2Zn2GaAg2 after structural relaxation at the PBE level of DFT.

Cell: 4.4735 4.4488 8.1813 Å, 123.19 90.00 120.18°
Last column: nearest neighbours and their distance in Å.
Sites, in units of the cell vectors:
1 Ag 0.5630 0.1259 0.3475  1 Zn 2.67, 4 Li 2.67-2.73, 3 Ga 2.75
2 Li 0.8538 0.7077 0.7784  4 Ag 2.67-2.73, 3 Zn 2.71-2.75, 1 Li 2.81
3 Ga 0.0000 0.0000 0.5000  2 Zn 2.70, 6 Ag 2.75
4 Zn 0.2847 0.5693 0.9264  1 Ag 2.67, 1 Ga 2.70, 3 Li 2.71-2.75, 3 Zn 2.71-2.75
5 Ag 0.4370 0.8741 0.6525  1 Zn 2.67, 4 Li 2.67-2.73, 3 Ga 2.75
6 Li 0.1462 0.2923 0.2216  4 Ag 2.67-2.73, 3 Zn 2.71-2.75, 1 Li 2.81
7 Zn 0.7153 0.4307 0.0736  1 Ag 2.67, 1 Ga 2.70, 3 Li 2.71-2.75, 3 Zn 2.71-2.75

Computed properties:
Formation enthalpy at 0 K (eV/f.u.): -1.4
Theoretical density (g cm⁻³): 6.558
Space-group type: No. 12



Computed, not measured: Sr2Cd12Cu3Ag after structural relaxation at the PBE level of DFT.

Cell: 8.7128 8.7128 8.7128 Å, 64.21 64.21 64.21°
Last column: nearest neighbours and their distance in Å.
Sites, in units of the cell vectors:
1 Cd 0.8745 0.8745 0.3742  1 Cu 2.59, 1 Ag 2.80
2 Cd 0.6635 0.6635 0.1062  2 Cu 2.58
3 Cd 0.3365 0.8938 0.3365  2 Cu 2.58
4 Cd 0.1062 0.6635 0.6635  2 Cu 2.58
5 Cd 0.1255 0.6258 0.1255  1 Cu 2.59, 1 Ag 2.80
6 Cd 0.3365 0.3365 0.8938  2 Cu 2.58
7 Cd 0.8938 0.3365 0.3365  2 Cu 2.58
8 Sr 0.6055 0.6055 0.6055  6 Cd 3.41-3.44
9 Cd 0.6635 0.1062 0.6635  2 Cu 2.58
10 Sr 0.3945 0.3945 0.3945  6 Cd 3.41-3.44
11 Cd 0.1255 0.1255 0.6258  1 Cu 2.59, 1 Ag 2.80
12 Cu 0.5000 0.0000 0.0000  6 Cd 2.58-2.59
13 Cd 0.3742 0.8745 0.8745  1 Cu 2.59, 1 Ag 2.80
14 Ag 0.0000 0.0000 0.0000  6 Cd 2.80
15 Cd 0.8745 0.3742 0.8745  1 Cu 2.59, 1 Ag 2.80
16 Cu 0.0000 0.5000 0.0000  6 Cd 2.58-2.59
17 Cd 0.6258 0.1255 0.1255  1 Cu 2.59, 1 Ag 2.80
18 Cu 0.0000 0.0000 0.5000  6 Cd 2.58-2.59

Computed properties:
Formation enthalpy at 0 K (eV/f.u.): 2.6
Theoretical density (g cm⁻³): 5.923
Space-group type: No. 166



Computed, not measured: Sb2TeAu after structural relaxation at the PBE level of DFT.

Cell: 6.6235 8.9119 3.0616 Å, 105.92 65.44 137.40°
Last column: nearest neighbours and their distance in Å.
Sites, in units of the cell vectors:
1 Au 0.5000 0.0000 0.5000  4 Sb 3.02, 2 Au 3.06
2 Sb 0.0000 0.5000 0.5000  2 Au 3.02, 2 Te 3.02, 2 Sb 3.06
3 Te 0.5000 0.5000 0.0000  4 Sb 3.02, 2 Te 3.06
4 Sb 0.0000 0.0000 0.0000  2 Te 3.02, 2 Au 3.02, 2 Sb 3.06

Computed properties:
Theoretical density (g cm⁻³): 8.490
Space-group type: No. 12
ΔE_f (raw) (kJ per mole of atoms): 5.5



Computed, not measured: UTl2Cl5O after structural relaxation at the PBE level of DFT.

Cell: 7.2994 7.2994 7.2994 Å, 93.85 117.80 117.80°
Last column: nearest neighbours and their distance in Å.
Sites, in units of the cell vectors:
1 Tl 0.5000 0.7083 0.2083  4 Cl 3.33
2 U 0.0000 0.9924 0.9924  1 O 1.83
3 Cl 0.0000 0.2497 0.2497  1 U 2.57
4 Tl 0.5000 0.2083 0.7083  4 Cl 3.33
5 Cl 0.5029 0.7596 0.7596  1 U 2.66
6 Cl 0.0000 0.2567 0.7596  1 U 2.66
7 O 0.0000 0.8085 0.8085  1 U 1.83
8 Cl 0.4971 0.2567 0.2567  1 U 2.66
9 Cl 0.0000 0.7596 0.2567  1 U 2.66

Computed properties:
Theoretical density (g cm⁻³): 4.921
Space-group type: No. 107
ΔE_f (raw) (kJ per mole of atoms): -153.9



Number 1: V 121 Å³/cell. Number 2: V 69 Å³/cell. Number 3: V 162 Å³/cell. Number 4: V 61 Å³/cell. Number 5: V 239 Å³/cell. Number 6: V 159 Å³/cell. Number 7: V 138 Å³/cell. Number 8: V 106 Å³/cell. Number 9: V 78 Å³/cell. Number 10: V 109 Å³/cell. Number 11: V 511 Å³/cell. Number 12: V 111 Å³/cell. Number 13: V 283 Å³/cell.